(A)
First-principles (GGA-PBE) data for a relaxed Ca4Si2H crystal, as listed in Alexandria.

abc: 6.784 6.802 8.021
angles: 90.00 107.08 90.00
Positions (direct):
Ca (0.006, 0.008, 0.247)
Ca (0.006, 0.492, 0.247)
Ca (0.414, 0.250, 0.588)
Ca (0.439, 0.250, 0.126)
Ca (0.561, 0.750, 0.874)
Ca (0.586, 0.750, 0.412)
Ca (0.994, 0.508, 0.753)
Ca (0.994, 0.992, 0.753)
Si (0.220, 0.750, 0.547)
Si (0.252, 0.750, 0.069)
Si (0.748, 0.250, 0.931)
Si (0.780, 0.250, 0.453)
H (0.235, 0.250, 0.303)
H (0.765, 0.750, 0.697)

Computed properties:
- size of the total moment (μB per atom) = 0.00
- N(E_F) (states/eV per cell) = 6.14

---

(B)
First-principles (GGA-PBE) data for a relaxed Ca4Si2H crystal, as listed in Alexandria.

abc: 8.567 8.567 8.567
angles: 148.47 148.47 45.19
Positions (direct):
Ca (0.000, 0.500, 0.500)
Ca (0.182, 0.182, 0.000)
Ca (0.500, 0.000, 0.500)
Ca (0.818, 0.818, 0.000)
Si (0.372, 0.372, 0.000)
Si (0.628, 0.628, 0.000)
H (0.500, 0.500, 0.000)

Computed properties:
- size of the total moment (μB per atom) = 0.12
- N(E_F) (states/eV per cell) = 3.61

---

Short version: (A) is the most stable of them.

---

(A)
First-principles (GGA-PBE) data for a relaxed Ca2SiH crystal, as listed in Alexandria.

abc: 5.072 5.072 3.296
angles: 90.00 90.00 90.00
Positions (direct):
Ca (0.000, 0.500, 0.000)
Ca (0.500, 0.000, 0.000)
Si (0.000, 0.000, 0.500)
H (0.500, 0.500, 0.500)

Computed properties:
- size of the total moment (μB per atom) = 0.00
- N(E_F) (states/eV per cell) = 1.90

---

(B)
First-principles (GGA-PBE) data for a relaxed Ca2SiH crystal, as listed in Alexandria.

abc: 6.004 5.663 11.316
angles: 90.00 117.16 90.00
Positions (direct):
Ca (0.008, 0.239, 0.412)
Ca (0.008, 0.761, 0.912)
Ca (0.332, 0.235, 0.857)
Ca (0.332, 0.765, 0.357)
Ca (0.668, 0.235, 0.643)
Ca (0.668, 0.765, 0.143)
Ca (0.992, 0.239, 0.088)
Ca (0.992, 0.761, 0.588)
Si (0.481, 0.269, 0.352)
Si (0.481, 0.731, 0.852)
Si (0.519, 0.269, 0.148)
Si (0.519, 0.731, 0.648)
H (0.046, 0.183, 0.630)
H (0.046, 0.817, 0.130)
H (0.954, 0.183, 0.870)
H (0.954, 0.817, 0.370)

Computed properties:
- size of the total moment (μB per atom) = 0.00
- N(E_F) (states/eV per cell) = 2.35

---

(C)
First-principles (GGA-PBE) data for a relaxed Ca2SiH crystal, as listed in Alexandria.

abc: 4.954 4.954 4.954
angles: 60.00 60.00 60.00
Positions (direct):
Ca (0.250, 0.250, 0.250)
Ca (0.750, 0.750, 0.750)
Si (0.000, 0.000, 0.000)
H (0.500, 0.500, 0.500)

Computed properties:
- size of the total moment (μB per atom) = 0.00
- N(E_F) (states/eV per cell) = 6.86

---

Short version: (B) is the most stable of them.

---

(A)
First-principles (GGA-PBE) data for a relaxed Ca3SiH crystal, as listed in Alexandria.

abc: 5.059 6.830 7.758
angles: 90.00 109.06 90.00
Positions (direct):
Ca (0.050, 0.250, 0.101)
Ca (0.328, 0.010, 0.655)
Ca (0.328, 0.490, 0.655)
Ca (0.672, 0.510, 0.345)
Ca (0.672, 0.990, 0.345)
Ca (0.950, 0.750, 0.899)
Si (0.148, 0.750, 0.298)
Si (0.852, 0.250, 0.702)
H (0.424, 0.750, 0.845)
H (0.576, 0.250, 0.155)

Computed properties:
- size of the total moment (μB per atom) = 0.00
- N(E_F) (states/eV per cell) = 5.82

---

(B)
First-principles (GGA-PBE) data for a relaxed Ca3SiH crystal, as listed in Alexandria.

abc: 4.783 4.783 4.783
angles: 90.00 90.00 90.00
Positions (direct):
Ca (0.000, 0.000, 0.500)
Ca (0.000, 0.500, 0.000)
Ca (0.500, 0.000, 0.000)
Si (0.500, 0.500, 0.500)
H (0.000, 0.000, 0.000)

Computed properties:
- size of the total moment (μB per atom) = 0.00
- N(E_F) (states/eV per cell) = 2.69

---

Short version: (A) is the most stable of them.

---

(A)
First-principles (GGA-PBE) data for a relaxed Ca5Sn2H2 crystal, as listed in Alexandria.

abc: 11.388 11.388 11.388
angles: 49.67 145.39 145.51
Positions (direct):
Ca (0.250, 0.004, 0.254)
Ca (0.250, 0.496, 0.747)
Ca (0.252, 0.116, 0.636)
Ca (0.480, 0.616, 0.364)
Ca (0.730, 0.121, 0.328)
Ca (0.730, 0.902, 0.109)
Ca (0.750, 0.504, 0.253)
Ca (0.750, 0.996, 0.746)
Ca (0.793, 0.402, 0.672)
Ca (0.793, 0.621, 0.891)
Sn (0.242, 0.135, 0.886)
Sn (0.242, 0.856, 0.606)
Sn (0.249, 0.356, 0.114)
Sn (0.249, 0.635, 0.394)
H (0.633, 0.459, 0.673)
H (0.750, 0.250, 0.500)
H (0.750, 0.750, 0.000)
H (0.786, 0.959, 0.327)

Computed properties:
- size of the total moment (μB per atom) = 0.00
- N(E_F) (states/eV per cell) = 1.97

---

(B)
First-principles (GGA-PBE) data for a relaxed Ca5Sn2H2 crystal, as listed in Alexandria.

abc: 6.653 6.653 7.125
angles: 99.91 99.91 45.31
Positions (direct):
Ca (0.000, 0.000, 0.000)
Ca (0.147, 0.147, 0.544)
Ca (0.319, 0.319, 0.133)
Ca (0.681, 0.681, 0.867)
Ca (0.853, 0.853, 0.456)
Sn (0.407, 0.407, 0.715)
Sn (0.593, 0.593, 0.285)
H (0.162, 0.162, 0.882)
H (0.838, 0.838, 0.118)

Computed properties:
- size of the total moment (μB per atom) = 0.00
- N(E_F) (states/eV per cell) = 1.78

---

Short version: (A) is the most stable of them.

---

(A)
First-principles (GGA-PBE) data for a relaxed Ca2SnH crystal, as listed in Alexandria.

abc: 8.083 8.083 8.083
angles: 26.79 26.79 26.79
Positions (direct):
Ca (0.230, 0.230, 0.230)
Ca (0.770, 0.770, 0.770)
Sn (0.000, 0.000, 0.000)
H (0.500, 0.500, 0.500)

Computed properties:
- size of the total moment (μB per atom) = 0.00
- N(E_F) (states/eV per cell) = 2.95

---

(B)
First-principles (GGA-PBE) data for a relaxed Ca2SnH crystal, as listed in Alexandria.

abc: 5.361 5.361 3.515
angles: 90.00 90.00 90.00
Positions (direct):
Ca (0.000, 0.500, 0.000)
Ca (0.500, 0.000, 0.000)
Sn (0.000, 0.000, 0.500)
H (0.500, 0.500, 0.500)

Computed properties:
- size of the total moment (μB per atom) = 0.00
- N(E_F) (states/eV per cell) = 1.84

---

(C)
First-principles (GGA-PBE) data for a relaxed Ca2SnH crystal, as listed in Alexandria.

abc: 6.359 6.359 6.359
angles: 111.51 111.51 105.47
Positions (direct):
Ca (0.023, 0.125, 0.398)
Ca (0.375, 0.977, 0.102)
Ca (0.727, 0.625, 0.602)
Ca (0.875, 0.273, 0.898)
Sn (0.250, 0.750, 0.500)
Sn (0.500, 0.500, 0.000)
H (0.000, 0.000, 0.000)
H (0.750, 0.250, 0.500)

Computed properties:
- size of the total moment (μB per atom) = 0.00
- N(E_F) (states/eV per cell) = 7.67

---

(D)
First-principles (GGA-PBE) data for a relaxed Ca2SnH crystal, as listed in Alexandria.

abc: 9.161 9.161 3.880
angles: 90.00 90.00 145.18
Positions (direct):
Ca (0.000, 0.000, 0.000)
Ca (0.184, 0.816, 0.500)
Ca (0.500, 0.500, 0.500)
Ca (0.816, 0.184, 0.500)
Sn (0.353, 0.647, 0.000)
Sn (0.647, 0.353, 0.000)
H (0.061, 0.939, 0.500)
H (0.939, 0.061, 0.500)

Computed properties:
- size of the total moment (μB per atom) = 0.00
- N(E_F) (states/eV per cell) = 2.50

---

Short version: (D) is the most stable of them.

---

(A)
First-principles (GGA-PBE) data for a relaxed CaSnH2 crystal, as listed in Alexandria.

abc: 6.408 6.408 6.408
angles: 33.36 33.36 33.36
Positions (direct):
Ca (0.000, 0.000, 0.000)
Sn (0.500, 0.500, 0.500)
H (0.376, 0.376, 0.376)
H (0.624, 0.624, 0.624)

Computed properties:
- size of the total moment (μB per atom) = 0.00
- N(E_F) (states/eV per cell) = 1.02

---

(B)
First-principles (GGA-PBE) data for a relaxed CaSnH2 crystal, as listed in Alexandria.

abc: 6.490 6.490 6.490
angles: 134.09 134.09 66.95
Positions (direct):
Ca (0.000, 0.000, 0.000)
Ca (0.750, 0.250, 0.500)
Sn (0.250, 0.750, 0.500)
Sn (0.500, 0.500, 0.000)
H (0.089, 0.625, 0.964)
H (0.375, 0.339, 0.464)
H (0.661, 0.125, 0.036)
H (0.875, 0.911, 0.536)

Computed properties:
- size of the total moment (μB per atom) = 0.00
- N(E_F) (states/eV per cell) = 3.38

---

(C)
First-principles (GGA-PBE) data for a relaxed CaSnH2 crystal, as listed in Alexandria.

abc: 4.405 4.405 4.405
angles: 60.00 60.00 60.00
Positions (direct):
Ca (0.000, 0.000, 0.000)
Sn (0.500, 0.500, 0.500)
H (0.250, 0.250, 0.250)
H (0.750, 0.750, 0.750)

Computed properties:
- size of the total moment (μB per atom) = 0.00
- N(E_F) (states/eV per cell) = 1.19

---

Short version: (A) is the most stable of them.

---

(A)
First-principles (GGA-PBE) data for a relaxed Ca2SnH2 crystal, as listed in Alexandria.

abc: 3.540 3.540 7.559
angles: 90.00 90.00 90.00
Positions (direct):
Ca (0.000, 0.000, 0.199)
Ca (0.000, 0.000, 0.801)
Sn (0.500, 0.500, 0.500)
H (0.000, 0.500, 0.000)
H (0.500, 0.000, 0.000)

Computed properties:
- size of the total moment (μB per atom) = 0.00
- N(E_F) (states/eV per cell) = 0.46

---

(B)
First-principles (GGA-PBE) data for a relaxed Ca2SnH2 crystal, as listed in Alexandria.

abc: 8.913 8.913 6.622
angles: 111.35 111.35 24.03
Positions (direct):
Ca (0.097, 0.597, 0.929)
Ca (0.403, 0.903, 0.571)
Ca (0.597, 0.097, 0.429)
Ca (0.903, 0.403, 0.071)
Sn (0.248, 0.752, 0.750)
Sn (0.752, 0.248, 0.250)
H (0.048, 0.548, 0.211)
H (0.452, 0.952, 0.289)
H (0.548, 0.048, 0.711)
H (0.952, 0.452, 0.789)

Computed properties:
- size of the total moment (μB per atom) = 0.00
- N(E_F) (states/eV per cell) = 2.55

---

(C)
First-principles (GGA-PBE) data for a relaxed Ca2SnH2 crystal, as listed in Alexandria.

abc: 7.671 7.671 3.153
angles: 90.00 90.00 90.00
Positions (direct):
Ca (0.148, 0.352, 0.000)
Ca (0.352, 0.852, 0.000)
Ca (0.648, 0.148, 0.000)
Ca (0.852, 0.648, 0.000)
Sn (0.000, 0.000, 0.500)
Sn (0.500, 0.500, 0.500)
H (0.095, 0.595, 0.500)
H (0.405, 0.095, 0.500)
H (0.595, 0.905, 0.500)
H (0.905, 0.405, 0.500)

Computed properties:
- size of the total moment (μB per atom) = 0.00
- N(E_F) (states/eV per cell) = 1.96

---

(D)
First-principles (GGA-PBE) data for a relaxed Ca2SnH2 crystal, as listed in Alexandria.

abc: 7.561 7.561 7.561
angles: 151.99 151.99 40.03
Positions (direct):
Ca (0.158, 0.158, 0.000)
Ca (0.842, 0.842, 0.000)
Sn (0.500, 0.500, 0.000)
H (0.250, 0.750, 0.500)
H (0.750, 0.250, 0.500)

Computed properties:
- size of the total moment (μB per atom) = 0.00
- N(E_F) (states/eV per cell) = 0.77

---

Short version: (D) is the most stable of them.

---

(A)
First-principles (GGA-PBE) data for a relaxed CaSn3H crystal, as listed in Alexandria.

abc: 5.879 5.879 5.879
angles: 90.00 90.00 90.00
Positions (direct):
Ca (0.000, 0.000, 0.000)
Sn (0.000, 0.000, 0.500)
Sn (0.000, 0.500, 0.000)
Sn (0.500, 0.000, 0.000)
H (0.500, 0.500, 0.500)

Computed properties:
- size of the total moment (μB per atom) = 0.19
- N(E_F) (states/eV per cell) = 4.99

---

(B)
First-principles (GGA-PBE) data for a relaxed CaSn3H crystal, as listed in Alexandria.

abc: 4.806 4.806 4.806
angles: 90.00 90.00 90.00
Positions (direct):
Ca (0.000, 0.000, 0.000)
Sn (0.000, 0.500, 0.500)
Sn (0.500, 0.000, 0.500)
Sn (0.500, 0.500, 0.000)
H (0.500, 0.500, 0.500)

Computed properties:
- size of the total moment (μB per atom) = 0.00
- N(E_F) (states/eV per cell) = 2.50

---

Short version: (B) is the most stable of them.